Entry from the Alexandria database: La5Sm4Ag after structural relaxation (PBE-GGA).

The structure belongs to space group P4/mmm (No. 123); the cell edges are 3.725, 3.725 and 24.588 Å and the angles 90.00°, 90.00° and 90.00°. The asymmetric unit holds La at (0.000, 0.000, 0.000), La at (0.000, 0.000, 0.209), La at (0.000, 0.000, 0.418), Sm at (0.500, 0.500, 0.104), Sm at (0.500, 0.500, 0.312) and Ag at (0.500, 0.500, 0.500).

As for the total energy: -4.6666 eV/atom. The energy of formation from the pure elements comes out at -0.03 eV per atom.